[1]
Computed, not measured: an optimized crystal structure of Pr9Ho4Cd11 at the PBE level of DFT.

Geometry as CIF:
```
data_Pr9Ho4Cd11
_chemical_formula_sum 'Pr18 Ho8 Cd22'
_space_group_name_H-M_alt 'C m m m'
_space_group_IT_number 65
_space_group_name_Hall '-C 2 2'
_cell_length_a 16.1478
_cell_length_b 23.7069
_cell_length_c 3.5859
_cell_angle_alpha 90.00
_cell_angle_beta 90.00
_cell_angle_gamma 90.00
loop_
_atom_site_label
_atom_site_fract_x
_atom_site_fract_y
_atom_site_fract_z
Pr1 0.0000 0.0000 0.0000
Pr2 0.1113 0.2421 0.0000
Pr3 0.1276 0.4176 0.0000
Ho1 0.1518 0.0956 0.0000
Cd1 0.0000 0.1366 0.5000
Cd2 0.0000 0.3365 0.5000
Cd3 0.0000 0.5000 0.5000
Cd4 0.2308 0.0000 0.5000
Cd5 0.2377 0.3209 0.5000
```

## Properties
Calculated density in g/cm³: 7.66

---

[2]
Computed, not measured: an optimized crystal structure of PrHo8Cd6 at the PBE level of DFT.

Geometry as CIF:
```
data_PrHo8Cd6
_chemical_formula_sum 'Pr3 Ho24 Cd18'
_space_group_name_H-M_alt 'R -3'
_space_group_IT_number 148
_space_group_name_Hall '-R 3'
_cell_length_a 8.9999
_cell_length_b 8.9999
_cell_length_c 19.0385
_cell_angle_alpha 90.00
_cell_angle_beta 90.00
_cell_angle_gamma 120.00
loop_
_atom_site_label
_atom_site_fract_x
_atom_site_fract_y
_atom_site_fract_z
Pr1 0.0000 0.0000 0.0000
Ho1 0.0000 0.0000 0.3322
Ho2 0.0024 0.6642 0.7829
Cd1 0.0002 0.3413 0.0529
```

## Properties
Calculated density in g/cm³: 7.96

---

[3]
Computed, not measured: an optimized crystal structure of Pr4HoCd at the PBE level of DFT.

Geometry as CIF:
```
data_Pr4HoCd
_chemical_formula_sum 'Pr16 Ho4 Cd4'
_space_group_name_H-M_alt 'C 1 2/c 1'
_space_group_IT_number 15
_cell_length_a 9.0428
_cell_length_b 14.5818
_cell_length_c 6.4533
_cell_angle_alpha 90.00
_cell_angle_beta 109.54
_cell_angle_gamma 90.00
loop_
_space_group_symop_operation_xyz
'x,y,z'
'-x,-y,-z'
'-x,y,-z+1/2'
'x,-y,z+1/2'
'x+1/2,y+1/2,z'
'-x+1/2,-y+1/2,-z'
'-x+1/2,y+1/2,-z+1/2'
'x+1/2,-y+1/2,z+1/2'
loop_
_atom_site_label
_atom_site_fract_x
_atom_site_fract_y
_atom_site_fract_z
Pr1 0.0980 0.1914 0.0473
Pr2 0.2124 0.3842 0.3750
Ho1 0.0000 0.4114 0.7500
Cd1 0.0000 0.0012 0.7500
```

## Properties
Calculated density in g/cm³: 6.97
ΔE to the lowest computed polymorph in eV per atom: 0.094

---

Number 1: DFT formation energy -243 meV per atom. Number 2: DFT formation energy -58 meV per atom. Number 3: DFT formation energy 0 meV per atom.